A plane-wave DFT calculation with GGA-PBE was carried out for a relaxed structure of Ca4Mg2Au.

Computed properties:
The calculation puts the uncorrected energy at -2.1656 eV/atom. The calculated formation energy comes out at -98 meV per atom. As for the space-group type: I4/mmm, No. 139.

Unit cell a=5.591 b=5.591 c=9.285 alpha=72.48 beta=72.48 gamma=90.00
Fractional coordinates of all 7 atoms:
Ca: 0.000 0.500 0.000
Ca: 0.500 0.000 0.000
Ca: 0.822 0.822 0.356
Mg: 0.380 0.380 0.240
Ca: 0.178 0.178 0.644
Au: 0.000 0.000 0.000
Mg: 0.620 0.620 0.760